First-principles (PBE+U) data for an optimized crystal structure of MnAu2SeF, as listed in Alexandria.

a b c (Å): 4.975 4.975 5.070
angles (deg): 90.00 90.00 90.00
Sites, in units of the cell vectors:
Mn (0.000, 0.000, 0.000)
Au (0.000, 0.500, 0.500)
Au (0.500, 0.000, 0.500)
Se (0.000, 0.000, 0.500)
F (0.500, 0.500, 0.000)

Output
E_tot ... -3.83 eV per atom
Density of states at the Fermi level ... 1.60 states/eV per cell
Crystal system ... tetragonal